[1]
Density functional theory data (PBE) for a relaxed TlTc2O6 crystal.

Output
uncorrected formation energy = -1.1822 eV/atom
spin magnetization = 1.01 μB/f.u.
SG = No. 15

Unit cell a=9.483 b=9.483 c=4.627 alpha=91.34 beta=91.34 gamma=93.09
Sites, in units of the cell vectors:
Tl 0.200 0.800 0.750
Tl 0.800 0.200 0.250
Tc 0.157 0.340 0.828
Tc 0.340 0.157 0.328
Tc 0.660 0.843 0.672
Tc 0.843 0.660 0.172
O 0.016 0.723 0.245
O 0.205 0.292 0.214
O 0.215 0.513 0.772
O 0.277 0.984 0.255
O 0.292 0.205 0.714
O 0.487 0.785 0.728
O 0.513 0.215 0.272
O 0.708 0.795 0.286
O 0.723 0.016 0.745
O 0.785 0.487 0.228
O 0.795 0.708 0.786
O 0.984 0.277 0.755

=====

[2]
Density functional theory data (PBE) for a relaxed TlTcO3 crystal.

Output
uncorrected formation energy = -1.1832 eV/atom
spin magnetization = 0.00 μB/f.u.
SG = No. 5

Unit cell a=4.720 b=4.720 c=8.087 alpha=90.11 beta=90.11 gamma=73.61
Sites, in units of the cell vectors:
Tl 0.232 0.232 0.150
Tl 0.768 0.768 0.850
Tc 0.445 0.555 0.500
Tc 0.903 0.097 0.500
O 0.173 0.825 0.338
O 0.174 0.326 0.497
O 0.175 0.827 0.662
O 0.674 0.826 0.503
O 0.675 0.325 0.310
O 0.675 0.325 0.690

=====

[3]
Density functional theory data (PBE) for a relaxed TlTcO3 crystal.

Output
uncorrected formation energy = -1.0846 eV/atom
spin magnetization = 0.00 μB/f.u.
SG = No. 221

Unit cell a=3.992 b=3.992 c=3.992 alpha=90.00 beta=90.00 gamma=90.00
Sites, in units of the cell vectors:
Tl 0.000 0.000 0.000
Tc 0.500 0.500 0.500
O 0.000 0.500 0.500
O 0.500 0.000 0.500
O 0.500 0.500 0.000

=====

[4]
Density functional theory data (PBE) for a relaxed TlTcO2 crystal.

Output
energy relative to the lowest polymorph listed for this composition = 0.000 eV/atom
uncorrected formation energy = -0.7556 eV/atom
spin magnetization = 0.59 μB/f.u.
SG = No. 166

Unit cell a=3.005 b=3.005 c=22.671 alpha=90.00 beta=90.00 gamma=120.00
Sites, in units of the cell vectors:
Tl 0.000 0.000 0.000
Tl 0.333 0.667 0.667
Tl 0.667 0.333 0.333
Tc 0.000 0.000 0.500
Tc 0.333 0.667 0.167
Tc 0.667 0.333 0.833
O 0.000 0.000 0.114
O 0.000 0.000 0.886
O 0.333 0.667 0.553
O 0.333 0.667 0.781
O 0.667 0.333 0.219
O 0.667 0.333 0.447

=====

[5]
Density functional theory data (PBE) for a relaxed TlTcO3 crystal.

Output
uncorrected formation energy = -1.1310 eV/atom
spin magnetization = 0.00 μB/f.u.
SG = No. 11

Unit cell a=7.030 b=3.100 c=7.670 alpha=90.00 beta=104.90 gamma=90.00
Sites, in units of the cell vectors:
Tl 0.181 0.250 0.250
Tl 0.819 0.750 0.750
Tc 0.336 0.750 0.826
Tc 0.664 0.250 0.174
O 0.181 0.250 0.889
O 0.281 0.750 0.593
O 0.470 0.750 0.124
O 0.530 0.250 0.876
O 0.719 0.250 0.407
O 0.819 0.750 0.111

=====

[6]
Density functional theory data (PBE) for a relaxed TlTcO3 crystal.

Output
uncorrected formation energy = -1.2169 eV/atom
spin magnetization = 0.00 μB/f.u.
SG = No. 14

Unit cell a=6.070 b=11.874 c=5.377 alpha=90.00 beta=90.09 gamma=90.00
Sites, in units of the cell vectors:
Tl 0.250 0.116 0.024
Tl 0.250 0.384 0.524
Tl 0.750 0.616 0.476
Tl 0.750 0.884 0.976
Tc 0.250 0.687 0.017
Tc 0.250 0.813 0.517
Tc 0.750 0.187 0.483
Tc 0.750 0.313 0.983
O 0.050 0.734 0.748
O 0.050 0.766 0.248
O 0.250 0.545 0.076
O 0.250 0.955 0.576
O 0.451 0.734 0.748
O 0.451 0.766 0.248
O 0.549 0.234 0.752
O 0.549 0.266 0.252
O 0.750 0.045 0.424
O 0.750 0.455 0.924
O 0.950 0.234 0.752
O 0.950 0.266 0.252

=====

[7]
Density functional theory data (PBE) for a relaxed TlTc3O crystal.

Output
energy relative to the lowest polymorph listed for this composition = 3.057 eV/atom
uncorrected formation energy = 3.3644 eV/atom
spin magnetization = 0.00 μB/f.u.
SG = No. 221

Unit cell a=4.974 b=4.974 c=4.974 alpha=90.00 beta=90.00 gamma=90.00
Sites, in units of the cell vectors:
Tl 0.000 0.000 0.000
Tc 0.000 0.000 0.500
Tc 0.000 0.500 0.000
Tc 0.500 0.000 0.000
O 0.500 0.500 0.500

=====

[8]
Density functional theory data (PBE) for a relaxed Tl2TcO4 crystal.

Output
energy relative to the lowest polymorph listed for this composition = 0.000 eV/atom
uncorrected formation energy = -1.1263 eV/atom
spin magnetization = 1.01 μB/f.u.
SG = No. 11

Unit cell a=6.579 b=6.275 c=8.568 alpha=90.00 beta=110.89 gamma=90.00
Sites, in units of the cell vectors:
Tl 0.176 0.250 0.150
Tl 0.243 0.750 0.472
Tl 0.757 0.250 0.528
Tl 0.824 0.750 0.850
Tc 0.336 0.250 0.714
Tc 0.664 0.750 0.286
O 0.152 0.250 0.500
O 0.163 0.250 0.834
O 0.497 0.014 0.737
O 0.497 0.486 0.737
O 0.503 0.514 0.263
O 0.503 0.986 0.263
O 0.837 0.750 0.166
O 0.848 0.750 0.500

=====

[9]
Density functional theory data (PBE) for a relaxed TlTcO2 crystal.

Output
energy relative to the lowest polymorph listed for this composition = 0.142 eV/atom
uncorrected formation energy = -0.6137 eV/atom
spin magnetization = 2.01 μB/f.u.
SG = No. 227

Unit cell a=6.848 b=6.848 c=6.848 alpha=60.00 beta=60.00 gamma=60.00
Sites, in units of the cell vectors:
Tl 0.000 0.000 0.000
Tl 0.000 0.000 0.500
Tl 0.000 0.500 0.000
Tl 0.500 0.000 0.000
Tc 0.000 0.500 0.500
Tc 0.500 0.000 0.500
Tc 0.500 0.500 0.000
Tc 0.500 0.500 0.500
O 0.282 0.282 0.282
O 0.282 0.282 0.654
O 0.282 0.654 0.282
O 0.346 0.718 0.718
O 0.654 0.282 0.282
O 0.718 0.346 0.718
O 0.718 0.718 0.346
O 0.718 0.718 0.718

=====

[10]
Density functional theory data (PBE) for a relaxed TlTcO3 crystal.

Output
uncorrected formation energy = -1.1488 eV/atom
spin magnetization = 0.00 μB/f.u.
SG = No. 15

Unit cell a=8.332 b=8.332 c=5.712 alpha=100.70 beta=100.70 gamma=65.45
Sites, in units of the cell vectors:
Tl 0.125 0.875 0.750
Tl 0.356 0.644 0.250
Tl 0.644 0.356 0.750
Tl 0.875 0.125 0.250
Tc 0.105 0.362 0.901
Tc 0.362 0.105 0.401
Tc 0.638 0.895 0.599
Tc 0.895 0.638 0.099
O 0.017 0.762 0.286
O 0.061 0.593 0.851
O 0.238 0.983 0.214
O 0.268 0.293 0.629
O 0.293 0.268 0.129
O 0.407 0.939 0.649
O 0.593 0.061 0.351
O 0.707 0.732 0.871
O 0.732 0.707 0.371
O 0.762 0.017 0.786
O 0.939 0.407 0.149
O 0.983 0.238 0.714

=====

[11]
Density functional theory data (PBE) for a relaxed TlTc3O12 crystal.

Output
uncorrected formation energy = -1.2067 eV/atom
spin magnetization = 0.31 μB/f.u.
SG = No. 161

Unit cell a=11.225 b=11.225 c=11.225 alpha=47.47 beta=47.47 gamma=47.47
Sites, in units of the cell vectors:
Tl 0.000 0.000 0.000
Tl 0.500 0.500 0.500
Tc 0.093 0.391 0.781
Tc 0.281 0.891 0.593
Tc 0.391 0.781 0.093
Tc 0.593 0.281 0.891
Tc 0.781 0.093 0.391
Tc 0.891 0.593 0.281
O 0.081 0.482 0.150
O 0.112 0.205 0.806
O 0.150 0.081 0.482
O 0.182 0.875 0.808
O 0.205 0.806 0.112
O 0.306 0.705 0.612
O 0.308 0.375 0.682
O 0.375 0.682 0.308
O 0.397 0.982 0.979
O 0.479 0.482 0.897
O 0.482 0.150 0.081
O 0.482 0.897 0.479
O 0.581 0.650 0.982
O 0.612 0.306 0.705
O 0.650 0.982 0.581
O 0.682 0.308 0.375
O 0.705 0.612 0.306
O 0.806 0.112 0.205
O 0.808 0.182 0.875
O 0.875 0.808 0.182
O 0.897 0.479 0.482
O 0.979 0.397 0.982
O 0.982 0.581 0.650
O 0.982 0.979 0.397

=====

[12]
Density functional theory data (PBE) for a relaxed TlTcO2 crystal.

Output
energy relative to the lowest polymorph listed for this composition = 0.232 eV/atom
uncorrected formation energy = -0.5238 eV/atom
spin magnetization = 0.00 μB/f.u.
SG = No. 166

Unit cell a=3.110 b=3.110 c=23.010 alpha=90.00 beta=90.00 gamma=120.00
Sites, in units of the cell vectors:
Tl 0.000 0.000 0.000
Tl 0.333 0.667 0.667
Tl 0.667 0.333 0.333
Tc 0.000 0.000 0.500
Tc 0.333 0.667 0.167
Tc 0.667 0.333 0.833
O 0.000 0.000 0.423
O 0.000 0.000 0.577
O 0.333 0.667 0.090
O 0.333 0.667 0.244
O 0.667 0.333 0.756
O 0.667 0.333 0.910